Record 1
LiTbCuAu: optimized geometry, PBE-GGA.

Summary:
calculated volume = 19.4 Å³/atom
space group = F-43m (216)
formation enthalpy at 0 K = -396 meV per atom

Lattice parameters (Å, degrees): 4.7846 4.7846 4.7846 60.00 60.00 60.00
Closest atoms and distances in Å follow each position.
Fractional coordinates of all 4 atoms:
Li1 0.0000 0.0000 0.0000  4 Cu 2.93, 4 Au 2.93
Tb1 0.5000 0.5000 0.5000  4 Cu 2.93, 4 Au 2.93
Cu1 0.2500 0.2500 0.2500  4 Tb 2.93, 4 Li 2.93
Au1 0.7500 0.7500 0.7500  4 Tb 2.93, 4 Li 2.93

---

Record 2
Tb3Mg2Tl3: optimized geometry, PBE-GGA.

Summary:
calculated volume = 26.6 Å³/atom
space group = Immm (71)
formation enthalpy at 0 K = -215 meV per atom

Lattice parameters (Å, degrees): 10.5133 10.5133 10.5133 156.21 153.00 36.28
Closest atoms and distances in Å follow each position.
Fractional coordinates of all 8 atoms:
Tb1 0.0000 0.0000 0.0000  8 Tl 3.27-3.51, 4 Tb 3.50
Tb2 0.3753 0.8753 0.5000  6 Tl 3.29-3.30, 4 Mg 3.35-3.47, 2 Tb 3.50
Tb3 0.6247 0.1247 0.5000  6 Tl 3.29-3.30, 4 Mg 3.35-3.47, 2 Tb 3.50
Mg1 0.2476 0.2476 0.0000  4 Tl 3.07-3.35, 4 Mg 3.27, 2 Tb 3.35
Mg2 0.7524 0.7524 0.0000  4 Tl 3.07-3.35, 4 Mg 3.27, 2 Tb 3.35
Tl1 0.1385 0.6385 0.5000  4 Mg 3.07-3.35, 4 Tb 3.29
Tl2 0.5000 0.5000 0.0000  8 Tb 3.27-3.30
Tl3 0.8615 0.3615 0.5000  4 Mg 3.07-3.35, 4 Tb 3.29

---

Record 3
ZrOs2Ru: optimized geometry, PBE-GGA.

Summary:
calculated volume = 16.2 Å³/atom
space group = Fm-3m (225)
formation enthalpy at 0 K = 272 meV per atom
energy relative to the lowest polymorph listed for this composition = 329 meV per atom

Lattice parameters (Å, degrees): 4.5062 4.5062 4.5062 60.00 60.00 60.00
Closest atoms and distances in Å follow each position.
Fractional coordinates of all 4 atoms:
Zr1 0.0000 0.0000 0.0000  8 Os 2.76
Os1 0.2500 0.2500 0.2500  4 Ru 2.76, 4 Zr 2.76
Os2 0.7500 0.7500 0.7500  4 Ru 2.76, 4 Zr 2.76
Ru1 0.5000 0.5000 0.5000  8 Os 2.76

---

Record 4
Sc3SiRh: optimized geometry, PBE-GGA.

Summary:
calculated volume = 23.6 Å³/atom
ΔE_f (raw) = 0.14 eV per atom
space group = Pm-3m (221)
energy relative to the lowest polymorph listed for this composition = 262 meV per atom

Lattice parameters (Å, degrees): 4.9052 4.9052 4.9052 90.00 90.00 90.00
Closest atoms and distances in Å follow each position.
Fractional coordinates of all 5 atoms:
Sc1 0.0000 0.0000 0.5000  2 Si 2.45
Sc2 0.0000 0.5000 0.0000  2 Si 2.45
Sc3 0.5000 0.0000 0.0000  2 Si 2.45
Si1 0.0000 0.0000 0.0000  6 Sc 2.45
Rh1 0.5000 0.5000 0.5000  12 Sc 3.47

---

Record 5
Ge2HWAu: optimized geometry, PBE-GGA.

Summary:
calculated volume = 14.1 Å³/atom
space group = P4/mmm (123)
energy relative to the lowest polymorph listed for this composition = 0 meV per atom

Lattice parameters (Å, degrees): 4.4421 4.4421 3.5700 90.00 90.00 90.00
Closest atoms and distances in Å follow each position.
Fractional coordinates of all 5 atoms:
Ge1 0.0000 0.5000 0.0000  2 H 2.22
Ge2 0.5000 0.0000 0.0000  2 H 2.22
H1 0.0000 0.0000 0.0000  2 Au 1.79
W1 0.5000 0.5000 0.5000  8 Ge 2.85, 4 Au 3.14
Au1 0.0000 0.0000 0.5000  2 H 1.79

---

Record 6
La4SmPa3N8: optimized geometry, PBE-GGA.

Summary:
calculated volume = 16.8 Å³/atom
ΔE_f (raw) = -1.55 eV per atom
space group = R-3m (166)

Lattice parameters (Å, degrees): 7.2962 7.2962 7.2962 59.13 59.13 59.13
Closest atoms and distances in Å follow each position.
Fractional coordinates of all 16 atoms:
La1 0.0000 0.0000 0.0000  6 N 2.63
La2 0.0000 0.5000 0.5000  6 N 2.74-2.77
La3 0.5000 0.0000 0.5000  6 N 2.74-2.77
La4 0.5000 0.5000 0.0000  6 N 2.74-2.77
Sm1 0.5000 0.5000 0.5000  6 N 2.52
Pa1 0.0000 0.0000 0.5000  6 N 2.37-2.41
Pa2 0.0000 0.5000 0.0000  6 N 2.37-2.41
Pa3 0.5000 0.0000 0.0000  6 N 2.37-2.41
N1 0.2168 0.7452 0.7452  2 Pa 2.37, 1 Sm 2.52, 1 La 2.63
N2 0.2340 0.2340 0.2340  3 Pa 2.41
N3 0.2548 0.2548 0.7832  2 Pa 2.37, 1 Sm 2.52, 1 La 2.63
N4 0.2548 0.7832 0.2548  2 Pa 2.37, 1 Sm 2.52, 1 La 2.63
N5 0.7452 0.2168 0.7452  2 Pa 2.37, 1 Sm 2.52, 1 La 2.63
N6 0.7452 0.7452 0.2168  2 Pa 2.37, 1 Sm 2.52, 1 La 2.63
N7 0.7660 0.7660 0.7660  3 Pa 2.41
N8 0.7832 0.2548 0.2548  2 Pa 2.37, 1 Sm 2.52, 1 La 2.63

---

Record 7
SbIrBr: optimized geometry, PBE-GGA.

Summary:
calculated volume = 22.7 Å³/atom
ΔE_f (raw) = 0.30 eV per atom
space group = I4mm (107)
energy relative to the lowest polymorph listed for this composition = 341 meV per atom

Lattice parameters (Å, degrees): 6.6603 6.6603 6.6603 151.28 151.28 41.07
Closest atoms and distances in Å follow each position.
Fractional coordinates of all 3 atoms:
Sb1 0.0000 0.0000 0.0000  4 Ir 2.74
Ir1 0.3853 0.3853 0.0000  4 Sb 2.74, 4 Br 3.02
Br1 0.7321 0.7321 0.0000  4 Ir 3.02, 4 Br 3.30, 1 Sb 3.34

---

Record 8
Pm3N2: optimized geometry, PBE-GGA.

Summary:
calculated volume = 19.8 Å³/atom
ΔE_f (raw) = -1.02 eV per atom
space group = R-3c (167)
energy relative to the lowest polymorph listed for this composition = 118 meV per atom

Lattice parameters (Å, degrees): 6.9543 6.9543 6.9543 52.91 52.91 52.91
Closest atoms and distances in Å follow each position.
Fractional coordinates of all 10 atoms:
Pm1 0.0730 0.7500 0.4270  4 N 2.53-2.55
Pm2 0.2500 0.5730 0.9270  4 N 2.53-2.55
Pm3 0.4270 0.0730 0.7500  4 N 2.53-2.55
Pm4 0.5730 0.9270 0.2500  4 N 2.53-2.55
Pm5 0.7500 0.4270 0.0730  4 N 2.53-2.55
Pm6 0.9270 0.2500 0.5730  4 N 2.53-2.55
N1 0.1620 0.1620 0.1620  6 Pm 2.53-2.55
N2 0.3380 0.3380 0.3380  6 Pm 2.53-2.55
N3 0.6620 0.6620 0.6620  6 Pm 2.53-2.55
N4 0.8380 0.8380 0.8380  6 Pm 2.53-2.55

---

Record 9
GdPu2Hf: optimized geometry, PBE-GGA.

Summary:
calculated volume = 26.3 Å³/atom
space group = P4/mmm (123)
formation enthalpy at 0 K = 182 meV per atom
energy relative to the lowest polymorph listed for this composition = 0 meV per atom

Lattice parameters (Å, degrees): 3.2955 3.2955 9.6905 90.00 90.00 90.00
Closest atoms and distances in Å follow each position.
Fractional coordinates of all 4 atoms:
Gd1 0.0000 0.0000 0.0000  4 Gd 3.30, 8 Pu 3.51
Pu1 0.5000 0.5000 0.2703  4 Hf 3.22, 4 Pu 3.30, 4 Gd 3.51
Pu2 0.5000 0.5000 0.7297  4 Hf 3.22, 4 Pu 3.30, 4 Gd 3.51
Hf1 0.0000 0.0000 0.5000  8 Pu 3.22, 4 Hf 3.30

---

Record 10
YErV4: optimized geometry, PBE-GGA.

Summary:
calculated volume = 18.4 Å³/atom
space group = F-43m (216)
formation enthalpy at 0 K = 367 meV per atom

Lattice parameters (Å, degrees): 5.3887 5.3887 5.3887 60.00 60.00 60.00
Closest atoms and distances in Å follow each position.
Fractional coordinates of all 6 atoms:
Y1 0.0000 0.0000 0.0000  12 V 3.17, 4 Er 3.30
Er1 0.7500 0.7500 0.7500  12 V 3.15, 4 Y 3.30
V1 0.3793 0.3793 0.3793  6 V 2.60-2.79
V2 0.3793 0.3793 0.8621  6 V 2.60-2.79
V3 0.3793 0.8621 0.3793  6 V 2.60-2.79
V4 0.8621 0.3793 0.3793  6 V 2.60-2.79

---

Record 11
PaNi3Ir: optimized geometry, PBE-GGA.

Summary:
calculated volume = 17.8 Å³/atom
space group = R-3c (167)
formation enthalpy at 0 K = 133 meV per atom

Lattice parameters (Å, degrees): 8.3897 8.3897 8.3897 35.52 35.52 35.52
Closest atoms and distances in Å follow each position.
Fractional coordinates of all 10 atoms:
Pa1 0.2500 0.2500 0.2500  6 Ni 2.54-2.58
Pa2 0.7500 0.7500 0.7500  6 Ni 2.54-2.58
Ni1 0.2462 0.7500 0.2538  2 Ir 2.46, 2 Pa 2.54-2.58, 4 Ni 2.56
Ni2 0.2500 0.7462 0.7538  2 Ir 2.46, 2 Pa 2.54-2.58, 4 Ni 2.56
Ni3 0.2538 0.2462 0.7500  2 Ir 2.46, 2 Pa 2.54-2.58, 4 Ni 2.56
Ni4 0.7462 0.7538 0.2500  2 Ir 2.46, 2 Pa 2.54-2.58, 4 Ni 2.56
Ni5 0.7500 0.2538 0.2462  2 Ir 2.46, 2 Pa 2.54-2.58, 4 Ni 2.56
Ni6 0.7538 0.2500 0.7462  2 Ir 2.46, 2 Pa 2.54-2.58, 4 Ni 2.56
Ir1 0.0000 0.0000 0.0000  6 Ni 2.46
Ir2 0.5000 0.5000 0.5000  6 Ni 2.46

---

Record 12
Cu5Bi3Cl12: optimized geometry, PBE-GGA.

Summary:
calculated volume = 23.9 Å³/atom
ΔE_f (raw) = -0.51 eV per atom
space group = Ia-3d (230)

Lattice parameters (Å, degrees): 13.5404 13.5404 13.5404 109.47 109.47 109.47
Closest atoms and distances in Å follow each position.
Fractional coordinates of all 80 atoms:
Cu1 0.0000 0.0000 0.0000  6 Cl 2.54
Cu2 0.0000 0.0000 0.5000  6 Cl 2.54
Cu3 0.0000 0.5000 0.0000  6 Cl 2.54
Cu4 0.0000 0.5000 0.5000  6 Cl 2.54
Cu5 0.1250 0.7500 0.8750  4 Cl 2.34
Cu6 0.1250 0.8750 0.2500  4 Cl 2.34
Cu7 0.2500 0.1250 0.8750  4 Cl 2.34
Cu8 0.2500 0.6250 0.3750  4 Cl 2.34
Cu9 0.3750 0.2500 0.6250  4 Cl 2.34
Cu10 0.3750 0.6250 0.7500  4 Cl 2.34
Cu11 0.5000 0.0000 0.0000  6 Cl 2.54
Cu12 0.5000 0.0000 0.5000  6 Cl 2.54
Cu13 0.5000 0.5000 0.0000  6 Cl 2.54
Cu14 0.5000 0.5000 0.5000  6 Cl 2.54
Cu15 0.6250 0.3750 0.2500  4 Cl 2.34
Cu16 0.6250 0.7500 0.3750  4 Cl 2.34
Cu17 0.7500 0.3750 0.6250  4 Cl 2.34
Cu18 0.7500 0.8750 0.1250  4 Cl 2.34
Cu19 0.8750 0.1250 0.7500  4 Cl 2.34
Cu20 0.8750 0.2500 0.1250  4 Cl 2.34
Bi1 0.1250 0.2500 0.3750  4 Cl 2.85
Bi2 0.1250 0.3750 0.7500  4 Cl 2.85
Bi3 0.2500 0.3750 0.1250  4 Cl 2.85
Bi4 0.2500 0.8750 0.6250  4 Cl 2.85
Bi5 0.3750 0.1250 0.2500  4 Cl 2.85
Bi6 0.3750 0.7500 0.1250  4 Cl 2.85
Bi7 0.6250 0.2500 0.8750  4 Cl 2.85
Bi8 0.6250 0.8750 0.7500  4 Cl 2.85
Bi9 0.7500 0.1250 0.3750  4 Cl 2.85
Bi10 0.7500 0.6250 0.8750  4 Cl 2.85
Bi11 0.8750 0.6250 0.2500  4 Cl 2.85
Bi12 0.8750 0.7500 0.6250  4 Cl 2.85
Cl1 0.0268 0.2022 0.1319  2 Cu 2.34-2.54
Cl2 0.0268 0.3247 0.8950  2 Cu 2.34-2.54
Cl3 0.0703 0.7022 0.6753  2 Cu 2.34-2.54
Cl4 0.0703 0.8681 0.3950  2 Cu 2.34-2.54
Cl5 0.1050 0.6319 0.4297  2 Cu 2.34-2.54
Cl6 0.1050 0.9732 0.6753  2 Cu 2.34-2.54
Cl7 0.1319 0.0268 0.2022  2 Cu 2.34-2.54
Cl8 0.1319 0.6050 0.9297  2 Cu 2.34-2.54
Cl9 0.1753 0.2022 0.5703  2 Cu 2.34-2.54
Cl10 0.1753 0.4732 0.6050  2 Cu 2.34-2.54
Cl11 0.2022 0.1319 0.0268  2 Cu 2.34-2.54
Cl12 0.2022 0.5703 0.1753  2 Cu 2.34-2.54
Cl13 0.2978 0.3247 0.9297  2 Cu 2.34-2.54
Cl14 0.2978 0.4732 0.3681  2 Cu 2.34-2.54
Cl15 0.3247 0.8950 0.0268  2 Cu 2.34-2.54
Cl16 0.3247 0.9297 0.2978  2 Cu 2.34-2.54
Cl17 0.3681 0.2978 0.4732  2 Cu 2.34-2.54
Cl18 0.3681 0.5703 0.8950  2 Cu 2.34-2.54
Cl19 0.3950 0.0703 0.8681  2 Cu 2.34-2.54
Cl20 0.3950 0.8247 0.5268  2 Cu 2.34-2.54
Cl21 0.4297 0.1050 0.6319  2 Cu 2.34-2.54
Cl22 0.4297 0.8247 0.7978  2 Cu 2.34-2.54
Cl23 0.4732 0.3681 0.2978  2 Cu 2.34-2.54
Cl24 0.4732 0.6050 0.1753  2 Cu 2.34-2.54
Cl25 0.5268 0.3950 0.8247  2 Cu 2.34-2.54
Cl26 0.5268 0.6319 0.7022  2 Cu 2.34-2.54
Cl27 0.5703 0.1753 0.2022  2 Cu 2.34-2.54
Cl28 0.5703 0.8950 0.3681  2 Cu 2.34-2.54
Cl29 0.6050 0.1753 0.4732  2 Cu 2.34-2.54
Cl30 0.6050 0.9297 0.1319  2 Cu 2.34-2.54
Cl31 0.6319 0.4297 0.1050  2 Cu 2.34-2.54
Cl32 0.6319 0.7022 0.5268  2 Cu 2.34-2.54
Cl33 0.6753 0.0703 0.7022  2 Cu 2.34-2.54
Cl34 0.6753 0.1050 0.9732  2 Cu 2.34-2.54
Cl35 0.7022 0.5268 0.6319  2 Cu 2.34-2.54
Cl36 0.7022 0.6753 0.0703  2 Cu 2.34-2.54
Cl37 0.7978 0.4297 0.8247  2 Cu 2.34-2.54
Cl38 0.7978 0.8681 0.9732  2 Cu 2.34-2.54
Cl39 0.8247 0.5268 0.3950  2 Cu 2.34-2.54
Cl40 0.8247 0.7978 0.4297  2 Cu 2.34-2.54
Cl41 0.8681 0.3950 0.0703  2 Cu 2.34-2.54
Cl42 0.8681 0.9732 0.7978  2 Cu 2.34-2.54
Cl43 0.8950 0.0268 0.3247  2 Cu 2.34-2.54
Cl44 0.8950 0.3681 0.5703  2 Cu 2.34-2.54
Cl45 0.9297 0.1319 0.6050  2 Cu 2.34-2.54
Cl46 0.9297 0.2978 0.3247  2 Cu 2.34-2.54
Cl47 0.9732 0.6753 0.1050  2 Cu 2.34-2.54
Cl48 0.9732 0.7978 0.8681  2 Cu 2.34-2.54

---

Record 13
CaTlNi2: optimized geometry, PBE-GGA.

Summary:
calculated volume = 19.2 Å³/atom
space group = Amm2 (38)
formation enthalpy at 0 K = -33 meV per atom

Lattice parameters (Å, degrees): 3.9463 5.2595 5.2595 44.58 90.00 90.00
Closest atoms and distances in Å follow each position.
Fractional coordinates of all 4 atoms:
Ca1 0.0000 0.0000 0.0000  7 Ni 2.79-2.93
Tl1 0.5000 0.7023 0.7023  7 Ni 2.80-2.92
Ni1 0.0000 0.2866 0.2866  2 Ni 2.33
Ni2 0.5000 0.4142 0.4142  2 Ni 2.33

---

Record 14
MoAsAu2: optimized geometry, PBE-GGA.

Summary:
calculated volume = 17.4 Å³/atom
space group = P2/m (10)
formation enthalpy at 0 K = 315 meV per atom

Lattice parameters (Å, degrees): 2.8325 4.7634 5.3234 90.00 104.03 90.00
Closest atoms and distances in Å follow each position.
Fractional coordinates of all 4 atoms:
Mo1 0.0000 0.0000 0.0000  2 As 2.66, 2 Mo 2.83
As1 0.0000 0.0000 0.5000  2 Mo 2.66, 4 Au 2.78, 2 As 2.83
Au1 0.3541 0.5000 0.7447  5 Au 2.64-2.92, 2 As 2.78
Au2 0.6459 0.5000 0.2553  5 Au 2.64-2.92, 2 As 2.78